Entry 1:
VASP calculation (GGA-PBE) on a relaxed structure of CsB2AsP.

Geometry as CIF:
```
data_CsB2AsP
_cell_length_a 4.574
_cell_length_b 4.574
_cell_length_c 5.121
_cell_angle_alpha 90.00
_cell_angle_beta 90.00
_cell_angle_gamma 90.00
_space_group_name_H-M_alt 'P 4/m m m'
_space_group_IT_number 123
_space_group_name_Hall '-P 4 2'
loop_
_atom_site_label
_atom_site_type_symbol
_atom_site_fract_x
_atom_site_fract_y
_atom_site_fract_z
_atom_site_occupancy
Cs1 Cs 0.000 0.000 0.000 1
B1 B 0.000 0.500 0.500 1
As1 As 0.500 0.500 0.500 1
P1 P 0.500 0.500 0.000 1
```

Summary:
formation energy from the elements: 1.49 eV per atom
DOS at the Fermi energy: 3.15 states/eV/cell
V: 107 Å³ per cell

Entry 2:
VASP calculation (GGA-PBE) on a relaxed structure of Ba4AgN2.

Geometry as CIF:
```
data_Ba4AgN2
_cell_length_a 4.241
_cell_length_b 14.024
_cell_length_c 14.472
_cell_angle_alpha 90.00
_cell_angle_beta 90.00
_cell_angle_gamma 90.00
_space_group_name_H-M_alt 'C m c m'
_space_group_IT_number 63
_space_group_name_Hall '-C 2c 2'
loop_
_atom_site_label
_atom_site_type_symbol
_atom_site_fract_x
_atom_site_fract_y
_atom_site_fract_z
_atom_site_occupancy
Ba1 Ba 0.000 0.000 0.000 1
Ba2 Ba 0.000 0.265 0.101 1
Ba3 Ba 0.000 0.417 0.750 1
Ag1 Ag 0.000 0.104 0.750 1
N1 N 0.000 0.357 0.562 1
```

Summary:
DOS at the Fermi energy: 16.12 states/eV/cell
raw total energy: -4.139 eV per atom
V: 861 Å³ per cell

Entry 3:
VASP calculation (GGA-PBE) on a relaxed structure of CrCd2Ni.

Geometry as CIF:
```
data_CrCd2Ni
_cell_length_a 6.466
_cell_length_b 6.466
_cell_length_c 6.466
_cell_angle_alpha 90.00
_cell_angle_beta 90.00
_cell_angle_gamma 90.00
_space_group_name_H-M_alt 'F -4 3 m'
_space_group_IT_number 216
_space_group_name_Hall 'F -4 2 3'
loop_
_atom_site_label
_atom_site_type_symbol
_atom_site_fract_x
_atom_site_fract_y
_atom_site_fract_z
_atom_site_occupancy
Cr1 Cr 0.000 0.000 0.000 1
Cd1 Cd 0.000 0.000 0.500 1
Cd2 Cd 0.250 0.250 0.750 1
Ni1 Ni 0.250 0.250 0.250 1
```

Summary:
formation energy from the elements: 0.32 eV per atom
DOS at the Fermi energy: 8.94 states/eV/cell
ΔE to the lowest computed polymorph: 0.438 eV per formula unit
V: 270 Å³ per cell

Entry 4:
VASP calculation (GGA-PBE) on a relaxed structure of SbAsSe2Cl.

Geometry as CIF:
```
data_SbAsSe2Cl
_cell_length_a 5.098
_cell_length_b 5.098
_cell_length_c 4.831
_cell_angle_alpha 90.00
_cell_angle_beta 90.00
_cell_angle_gamma 90.00
_space_group_name_H-M_alt 'P 4/m m m'
_space_group_IT_number 123
_space_group_name_Hall '-P 4 2'
loop_
_atom_site_label
_atom_site_type_symbol
_atom_site_fract_x
_atom_site_fract_y
_atom_site_fract_z
_atom_site_occupancy
Sb1 Sb 0.000 0.000 0.000 1
As1 As 0.500 0.500 0.000 1
Se1 Se 0.000 0.500 0.500 1
Cl1 Cl 0.500 0.500 0.500 1
```

Summary:
DOS at the Fermi energy: 7.06 states/eV/cell
ΔE to the lowest computed polymorph: 0.860 eV per formula unit
V: 126 Å³ per cell

Entry 5:
VASP calculation (GGA-PBE) on a relaxed structure of Li2TlTeSe.

Geometry as CIF:
```
data_Li2TlTeSe
_cell_length_a 4.844
_cell_length_b 4.844
_cell_length_c 5.694
_cell_angle_alpha 90.00
_cell_angle_beta 90.00
_cell_angle_gamma 90.00
_space_group_name_H-M_alt 'P 4/m m m'
_space_group_IT_number 123
_space_group_name_Hall '-P 4 2'
loop_
_atom_site_label
_atom_site_type_symbol
_atom_site_fract_x
_atom_site_fract_y
_atom_site_fract_z
_atom_site_occupancy
Li1 Li 0.000 0.500 0.000 1
Tl1 Tl 0.000 0.000 0.500 1
Te1 Te 0.500 0.500 0.500 1
Se1 Se 0.000 0.000 0.000 1
```

Summary:
DOS at the Fermi energy: 2.26 states/eV/cell
raw total energy: -3.182 eV per atom
V: 134 Å³ per cell

Entry 6:
VASP calculation (GGA-PBE) on a relaxed structure of CoOsCl2.

Geometry as CIF:
```
data_CoOsCl2
_cell_length_a 3.496
_cell_length_b 3.496
_cell_length_c 10.730
_cell_angle_alpha 90.00
_cell_angle_beta 90.00
_cell_angle_gamma 90.00
_space_group_name_H-M_alt 'I -4 m 2'
_space_group_IT_number 119
_space_group_name_Hall 'I -4 -2'
loop_
_atom_site_label
_atom_site_type_symbol
_atom_site_fract_x
_atom_site_fract_y
_atom_site_fract_z
_atom_site_occupancy
Co1 Co 0.000 0.000 0.000 1
Os1 Os 0.000 0.500 0.750 1
Cl1 Cl 0.000 0.000 0.500 1
Cl2 Cl 0.000 0.500 0.250 1
```

Summary:
DOS at the Fermi energy: 8.58 states/eV/cell
ΔE to the lowest computed polymorph: 3.855 eV per formula unit
V: 131 Å³ per cell

Entry 7:
VASP calculation (GGA-PBE) on a relaxed structure of CsCuSe.

Geometry as CIF:
```
data_CsCuSe
_cell_length_a 10.867
_cell_length_b 4.247
_cell_length_c 8.679
_cell_angle_alpha 90.00
_cell_angle_beta 90.00
_cell_angle_gamma 90.00
_space_group_name_H-M_alt 'P n m a'
_space_group_IT_number 62
loop_
_space_group_symop_operation_xyz
'x,y,z'
'-x,-y,-z'
'-x+1/2,-y,z+1/2'
'x+1/2,y,-z+1/2'
'x+1/2,-y+1/2,-z+1/2'
'-x+1/2,y+1/2,z+1/2'
'-x,y+1/2,-z'
'x,-y+1/2,z'
loop_
_atom_site_label
_atom_site_type_symbol
_atom_site_fract_x
_atom_site_fract_y
_atom_site_fract_z
_atom_site_occupancy
Cs1 Cs 0.198 0.250 0.050 1
Cu1 Cu 0.011 0.250 0.422 1
Se1 Se 0.004 0.750 0.287 1
```

Summary:
DOS at the Fermi energy: 1.61 states/eV/cell
raw total energy: -3.482 eV per atom
V: 401 Å³ per cell

Entry 8:
VASP calculation (GGA-PBE) on a relaxed structure of Tm4AgPd.

Geometry as CIF:
```
data_Tm4AgPd
_cell_length_a 6.896
_cell_length_b 6.896
_cell_length_c 6.956
_cell_angle_alpha 90.00
_cell_angle_beta 90.07
_cell_angle_gamma 90.00
_space_group_name_H-M_alt 'C 1 2/m 1'
_space_group_IT_number 12
loop_
_space_group_symop_operation_xyz
'x,y,z'
'-x,-y,-z'
'-x,y,-z'
'x,-y,z'
'x+1/2,y+1/2,z'
'-x+1/2,-y+1/2,-z'
'-x+1/2,y+1/2,-z'
'x+1/2,-y+1/2,z'
loop_
_atom_site_label
_atom_site_type_symbol
_atom_site_fract_x
_atom_site_fract_y
_atom_site_fract_z
_atom_site_occupancy
Tm1 Tm 0.250 0.250 0.242 1
Ag1 Ag 0.000 0.000 0.500 1
Pd1 Pd 0.000 0.500 0.000 1
```

Summary:
formation energy from the elements: -0.24 eV per atom
DOS at the Fermi energy: 13.01 states/eV/cell
ΔE to the lowest computed polymorph: 1.288 eV per formula unit
V: 331 Å³ per cell

Entry 9:
VASP calculation (GGA-PBE) on a relaxed structure of LiNb2I8.

Geometry as CIF:
```
data_LiNb2I8
_cell_length_a 13.618
_cell_length_b 11.432
_cell_length_c 7.328
_cell_angle_alpha 90.00
_cell_angle_beta 91.77
_cell_angle_gamma 90.00
_space_group_name_H-M_alt 'C 1 2/m 1'
_space_group_IT_number 12
loop_
_space_group_symop_operation_xyz
'x,y,z'
'-x,-y,-z'
'-x,y,-z'
'x,-y,z'
'x+1/2,y+1/2,z'
'-x+1/2,-y+1/2,-z'
'-x+1/2,y+1/2,-z'
'x+1/2,-y+1/2,z'
loop_
_atom_site_label
_atom_site_type_symbol
_atom_site_fract_x
_atom_site_fract_y
_atom_site_fract_z
_atom_site_occupancy
Li1 Li 0.000 0.000 0.000 1
Nb1 Nb 0.200 0.000 0.654 1
I1 I 0.102 0.183 0.791 1
I2 I 0.114 0.500 0.228 1
I3 I 0.190 0.000 0.290 1
```

Summary:
DOS at the Fermi energy: 20.50 states/eV/cell
raw total energy: -3.580 eV per atom
V: 1140 Å³ per cell

Entry 10:
VASP calculation (GGA-PBE) on a relaxed structure of PrTm2Rh.

Geometry as CIF:
```
data_PrTm2Rh
_cell_length_a 3.7661
_cell_length_b 3.7661
_cell_length_c 28.1750
_cell_angle_alpha 90.00
_cell_angle_beta 90.00
_cell_angle_gamma 120.00
_space_group_name_H-M_alt 'R -3 m'
_space_group_IT_number 166
_space_group_name_Hall '-R 3 2"'
loop_
_atom_site_label
_atom_site_type_symbol
_atom_site_fract_x
_atom_site_fract_y
_atom_site_fract_z
_atom_site_occupancy
Pr1 Pr 0.0000 0.0000 0.0000 1
Tm1 Tm 0.0000 0.0000 0.2245 1
Rh1 Rh 0.0000 0.0000 0.5000 1
```

Summary:
formation energy from the elements: -0.38 eV per atom
DOS at the Fermi energy: 11.12 states/eV/cell
ΔE to the lowest computed polymorph: 0.547 eV per formula unit
V: 346 Å³ per cell

Entry 11:
VASP calculation (GGA-PBE) on a relaxed structure of RbHf3B.

Geometry as CIF:
```
data_RbHf3B
_cell_length_a 4.953
_cell_length_b 4.953
_cell_length_c 4.953
_cell_angle_alpha 90.00
_cell_angle_beta 90.00
_cell_angle_gamma 90.00
_space_group_name_H-M_alt 'P m -3 m'
_space_group_IT_number 221
_space_group_name_Hall '-P 4 2 3'
loop_
_atom_site_label
_atom_site_type_symbol
_atom_site_fract_x
_atom_site_fract_y
_atom_site_fract_z
_atom_site_occupancy
Rb1 Rb 0.000 0.000 0.000 1
Hf1 Hf 0.000 0.000 0.500 1
B1 B 0.500 0.500 0.500 1
```

Summary:
formation energy from the elements: 3.20 eV per atom
DOS at the Fermi energy: 7.99 states/eV/cell
ΔE to the lowest computed polymorph: 12.053 eV per formula unit
V: 122 Å³ per cell

Entry 12:
VASP calculation (GGA-PBE) on a relaxed structure of BaSi2Mo.

Geometry as CIF:
```
data_BaSi2Mo
_cell_length_a 7.373
_cell_length_b 7.797
_cell_length_c 2.963
_cell_angle_alpha 90.00
_cell_angle_beta 104.06
_cell_angle_gamma 90.00
_space_group_name_H-M_alt 'C 1 2/m 1'
_space_group_IT_number 12
loop_
_space_group_symop_operation_xyz
'x,y,z'
'-x,-y,-z'
'-x,y,-z'
'x,-y,z'
'x+1/2,y+1/2,z'
'-x+1/2,-y+1/2,-z'
'-x+1/2,y+1/2,-z'
'x+1/2,-y+1/2,z'
loop_
_atom_site_label
_atom_site_type_symbol
_atom_site_fract_x
_atom_site_fract_y
_atom_site_fract_z
_atom_site_occupancy
Ba1 Ba 0.000 0.000 0.000 1
Si1 Si 0.250 0.250 0.500 1
Mo1 Mo 0.000 0.500 0.000 1
```

Summary:
DOS at the Fermi energy: 4.58 states/eV/cell
ΔE to the lowest computed polymorph: 3.504 eV per formula unit
V: 165 Å³ per cell